An optimized crystal structure of Na2Tb2TiS6. Source: Alexandria, functional PBE-GGA.

The structure belongs to space group C2/m (No. 12); the cell edges are 6.719, 11.451 and 7.106 Å and the angles 90.00°, 108.21° and 90.00°. The distinct sites, in fractional coordinates, are Na at (0.000, 0.170, 0.000), Tb at (0.000, 0.334, 0.500), Ti at (0.000, 0.000, 0.500), S at (0.225, 0.154, 0.716) and S at (0.229, 0.000, 0.288).

For the total energy, the calculation gives -125.18 eV per cell.